A plane-wave DFT calculation with PBE was carried out for a geometry-optimized ZnCoAs2 structure.

Values from the calculation:
SG: P4/mmm, No. 123

a = 2.910 Å, b = 2.908 Å, c = 7.534 Å
α = 90.00°, β = 90.00°, γ = 90.00°
Fractional coordinates of all 4 atoms:
Zn (0.500, 0.500, 0.750)
Co (0.500, 0.500, 0.250)
As (0.000, 0.000, 0.449)
As (0.000, 0.000, 0.051)


A plane-wave DFT calculation with PBE was carried out for a geometry-optimized Mg5Sn2HgAu2 structure.

Values from the calculation:
SG: P4/mbm, No. 127

a = 3.591 Å, b = 11.111 Å, c = 11.111 Å
α = 90.00°, β = 90.00°, γ = 90.00°
Fractional coordinates of all 20 atoms:
Au (0.000, 0.368, 0.132)
Mg (0.500, 0.292, 0.542)
Mg (0.500, 0.500, 0.000)
Mg (0.500, 0.958, 0.208)
Mg (0.500, 0.042, 0.792)
Hg (0.000, 0.000, 0.000)
Sn (0.000, 0.320, 0.820)
Mg (0.500, 0.708, 0.458)
Mg (0.500, 0.458, 0.292)
Au (0.000, 0.632, 0.868)
Au (0.000, 0.868, 0.368)
Mg (0.500, 0.000, 0.500)
Hg (0.000, 0.500, 0.500)
Mg (0.500, 0.792, 0.958)
Sn (0.000, 0.680, 0.180)
Au (0.000, 0.132, 0.632)
Mg (0.500, 0.208, 0.042)
Mg (0.500, 0.542, 0.708)
Sn (0.000, 0.820, 0.680)
Sn (0.000, 0.180, 0.320)


| no. | total DFT energy (no corrections) (eV for the cell shown) | formation energy (eV per atom) |
| --- | --- | --- |
| 1 | -17.4 | 0.07 |
| 2 | -51.6 | -0.30 |